8
Lattice="6.676 0.000 0.000 3.338 5.424 0.000 3.338 0.000 5.424" Properties=species:S:1:pos:R:3 comment="PBE K2MgGaS4, relaxed" raw_formation_energy_ev_per_fu=-7.59 energy_ev_per_atom=-3.86 spacegroup=I-42m pbc="T T T"
K 3.338 2.712 2.712
K 6.676 2.712 2.712
Mg 0.000 0.000 0.000
Ga 3.338 0.000 0.000
S 1.793 1.721 0.000
S 8.221 0.000 3.703
S 4.883 0.000 1.721
S 5.131 3.703 0.000